SrICl | SCAN | PBEsol geometry

Total magnetic moment: 0.00 μB per atom
Space-group type: Pnma
Formation energy from raw total energies: -2.3363 eV/atom
ρ: 4.641 g/cm³

extended XYZ file:
```
12
Lattice="8.171 0.000 0.000 0.000 4.680 0.000 0.000 0.000 9.357" Properties=species:S:1:pos:R:3 pbc="T T T"
Sr 1.757 1.170 1.137
Sr 2.329 3.510 5.816
Sr 5.842 1.170 3.541
Sr 6.414 3.510 8.219
I 0.204 3.510 3.102
I 3.881 1.170 7.781
I 4.290 3.510 1.576
I 7.967 1.170 6.255
Cl 1.180 3.510 8.752
Cl 2.906 1.170 4.073
Cl 5.265 3.510 5.284
Cl 6.992 1.170 0.605
```

---

YTcI2Cl | SCAN | PBEsol geometry

Total magnetic moment: 1.04 μB per atom
Space-group type: P4/mmm
Formation energy from raw total energies: -0.2278 eV/atom
ρ: 4.411 g/cm³

extended XYZ file:
```
5
Lattice="5.929 0.000 0.000 0.000 5.929 0.000 0.000 0.000 5.100" Properties=species:S:1:pos:R:3 pbc="T T T"
Y 0.000 0.000 0.000
Tc 2.964 2.964 2.550
I 0.000 2.964 0.000
I 2.964 0.000 0.000
Cl 0.000 0.000 2.550
```

---

TeI2Cl | SCAN | PBEsol geometry

Total magnetic moment: 0.00 μB per atom
Space-group type: Fm-3m
Formation energy from raw total energies: 0.2632 eV/atom
ρ: 6.351 g/cm³

extended XYZ file:
```
4
Lattice="0.000 3.791 3.791 3.791 0.000 3.791 3.791 3.791 0.000" Properties=species:S:1:pos:R:3 pbc="T T T"
Te 0.000 0.000 0.000
I 1.896 1.896 1.896
I 5.687 5.687 5.687
Cl 3.791 3.791 3.791
```

---

TiTeI2Cl | SCAN | PBEsol geometry

Total magnetic moment: 0.16 μB per atom
Space-group type: P4/mmm
Formation energy from raw total energies: -0.2848 eV/atom
ρ: 5.181 g/cm³

extended XYZ file:
```
5
Lattice="5.307 0.000 0.000 0.000 5.307 0.000 0.000 0.000 5.288" Properties=species:S:1:pos:R:3 pbc="T T T"
Ti 0.000 0.000 0.000
Te 0.000 0.000 2.644
I 0.000 2.654 0.000
I 2.654 0.000 0.000
Cl 2.654 2.654 2.644
```

---

YTe2ICl | SCAN | PBEsol geometry

Total magnetic moment: 0.55 μB per atom
Space-group type: P4/mmm
Formation energy from raw total energies: -0.4132 eV/atom
ρ: 4.340 g/cm³

extended XYZ file:
```
5
Lattice="5.807 0.000 0.000 0.000 5.807 0.000 0.000 0.000 5.747" Properties=species:S:1:pos:R:3 pbc="T T T"
Y 0.000 0.000 0.000
Te 0.000 2.903 0.000
Te 2.903 0.000 0.000
I 0.000 0.000 2.873
Cl 2.903 2.903 2.873
```

---

TlICl2 | SCAN | PBEsol geometry

Total magnetic moment: 0.00 μB per atom
Space-group type: R-3m
Energy above the most stable polymorph in this dataset: 0.00 eV/f.u.
Formation energy from raw total energies: -0.6114 eV/atom
ρ: 4.030 g/cm³

extended XYZ file:
```
4
Lattice="2.470 1.426 7.841 -2.470 1.426 7.841 0.000 -2.852 7.841" Properties=species:S:1:pos:R:3 pbc="T T T"
Tl 0.000 0.000 0.000
I 0.000 0.000 11.762
Cl 0.000 0.000 9.211
Cl 0.000 0.000 14.312
```